The following is a PBE calculation of a relaxed structure of Er2ScTe2, from Alexandria. Values from VASP.

Output
As for the formation energy from raw total energies: -4.101 eV per formula unit. The value obtained for the spin magnetization is 0.00 Bohr magnetons per cell.

Cell and atoms, written as Quantum ESPRESSO input:
```
&SYSTEM
  ibrav = 0, nat = 10, ntyp = 3
/
ATOMIC_SPECIES
Er 167.26 Er.upf
Sc 44.96 Sc.upf
Te 127.60 Te.upf
ATOMIC_POSITIONS crystal
Er 0.067 0.250 0.128
Er 0.276 0.250 0.556
Er 0.724 0.750 0.444
Er 0.933 0.750 0.872
Sc 0.469 0.250 0.920
Sc 0.531 0.750 0.080
Te 0.181 0.750 0.355
Te 0.375 0.750 0.758
Te 0.625 0.250 0.242
Te 0.819 0.250 0.645
CELL_PARAMETERS angstrom
5.840 0.000 0.000
0.000 4.729 0.000
-2.840 0.000 10.074
```